ZrReOs2 | PBE-GGA | relaxed

abc: 3.253 3.253 6.306
angles: 90.00 90.00 90.00
Space group P4mm (No. 99)
Symmetry-distinct sites (fractional):
Zr 0.000 0.000 0.000 [1 per cell]
Re 0.500 0.500 0.701 [1 per cell]
Os 0.000 0.000 0.512 [1 per cell]
Os 0.500 0.500 0.249 [1 per cell]

Calculated values
Energy of formation from the pure elements = 0.23 eV per atom
D(E_F) = 5.050 states/eV/f.u.
Final energy = -10.636 eV per atom
ΔE to the lowest computed polymorph = 253.2 meV per atom

ZrReOs2 | PBE-GGA | relaxed

abc: 6.378 6.378 6.378
angles: 90.00 90.00 90.00
Space group Fm-3m (No. 225)
Symmetry-distinct sites (fractional):
Zr 0.000 0.000 0.000 [4 per cell]
Re 0.000 0.000 0.500 [4 per cell]
Os 0.250 0.250 0.250 [8 per cell]

Calculated values
Energy of formation from the pure elements = 0.22 eV per atom
D(E_F) = 6.739 states/eV/f.u.
Final energy = -10.647 eV per atom
ΔE to the lowest computed polymorph = 242.3 meV per atom